4
Lattice="4.554 0.000 0.000 0.000 5.088 0.000 0.000 0.000 5.088" Properties=species:S:1:pos:R:3 comment="PBE NdGdPb2, optimized geometry" formation_enthalpy_0k_ev_per_fu=-2.0 spacegroup="No. 123" e_tot_ev_per_atom=-7.076 de_polymorph_kj_per_mol_atoms=1.0 pbc="T T T"
Nd 2.277 0.000 0.000
Pb 0.000 2.544 0.000
Gd 2.277 2.544 2.544
Pb 0.000 0.000 2.544